[1]
# PrNdTmTh2 (PBE, relaxed)
# * Fermi-level density of states: 7.6 states/eV/f.u.
# * calculated formation energy: 365 meV/atom
# * density: 8.565 g cm⁻³
data_PrNdTmTh2
_symmetry_space_group_name_H-M 'C m c m'
_symmetry_Int_Tables_number 63
_symmetry_space_group_name_Hall '-C 2c 2'
_cell_length_a 6.7206
_cell_length_b 15.7373
_cell_length_c 6.7319
_cell_angle_alpha 90.00
_cell_angle_beta 90.00
_cell_angle_gamma 90.00
loop_
_atom_site_label
_atom_site_type_symbol
_atom_site_fract_x
_atom_site_fract_y
_atom_site_fract_z
Pr1 Pr 0.0000 0.2454 0.2500
Nd1 Nd 0.0000 0.3479 0.7500
Tm1 Tm 0.0000 0.1500 0.7500
Th1 Th 0.2475 0.0000 0.0000

---

[2]
# Pr4NdTm2Th (PBE, relaxed)
# * Fermi-level density of states: 13.2 states/eV/f.u.
# * calculated formation energy: 43 meV/atom
# * density: 7.783 g cm⁻³
data_Pr4NdTm2Th
_symmetry_space_group_name_H-M 'C 1 2/m 1'
_symmetry_Int_Tables_number 12
_cell_length_a 11.5152
_cell_length_b 5.1570
_cell_length_c 10.2713
_cell_angle_alpha 90.00
_cell_angle_beta 116.63
_cell_angle_gamma 90.00
loop_
_symmetry_equiv_pos_as_xyz
'x,y,z'
'-x,-y,-z'
'-x,y,-z'
'x,-y,z'
'x+1/2,y+1/2,z'
'-x+1/2,-y+1/2,-z'
'-x+1/2,y+1/2,-z'
'x+1/2,-y+1/2,z'
loop_
_atom_site_label
_atom_site_type_symbol
_atom_site_fract_x
_atom_site_fract_y
_atom_site_fract_z
Pr1 Pr 0.2479 0.0000 0.1215
Pr2 Pr 0.2490 0.5000 0.3711
Nd1 Nd 0.0000 0.5000 0.5000
Tm1 Tm 0.0020 0.0000 0.2454
Th1 Th 0.0000 0.5000 0.0000

---

[3]
# PrNd2Tm5Th (PBE, relaxed)
# * Fermi-level density of states: 10.8 states/eV/f.u.
# * calculated formation energy: 284 meV/atom
# * density: 8.629 g cm⁻³
data_PrNd2Tm5Th
_symmetry_space_group_name_H-M 'I 4/m c m'
_symmetry_Int_Tables_number 140
_symmetry_space_group_name_Hall '-I 4 2c'
_cell_length_a 8.6736
_cell_length_b 8.6736
_cell_length_c 15.4100
_cell_angle_alpha 90.00
_cell_angle_beta 90.00
_cell_angle_gamma 90.00
loop_
_atom_site_label
_atom_site_type_symbol
_atom_site_fract_x
_atom_site_fract_y
_atom_site_fract_z
Pr1 Pr 0.0000 0.5000 0.2500
Nd1 Nd 0.1164 0.3836 0.0000
Tm1 Tm 0.0000 0.0000 0.0000
Tm2 Tm 0.2128 0.2872 0.3612
Th1 Th 0.0000 0.0000 0.2500

---

[4]
# Pr6NdTm2Th (PBE, relaxed)
# * Fermi-level density of states: 14.3 states/eV/f.u.
# * calculated formation energy: 136 meV/atom
# * density: 7.431 g cm⁻³
data_Pr6NdTm2Th
_symmetry_space_group_name_H-M 'C 1 2/c 1'
_symmetry_Int_Tables_number 15
_cell_length_a 9.4402
_cell_length_b 15.1174
_cell_length_c 9.8804
_cell_angle_alpha 90.00
_cell_angle_beta 98.62
_cell_angle_gamma 90.00
loop_
_symmetry_equiv_pos_as_xyz
'x,y,z'
'-x,-y,-z'
'-x,y,-z+1/2'
'x,-y,z+1/2'
'x+1/2,y+1/2,z'
'-x+1/2,-y+1/2,-z'
'-x+1/2,y+1/2,-z+1/2'
'x+1/2,-y+1/2,z+1/2'
loop_
_atom_site_label
_atom_site_type_symbol
_atom_site_fract_x
_atom_site_fract_y
_atom_site_fract_z
Pr1 Pr 0.0679 0.1726 0.4424
Pr2 Pr 0.0950 0.3951 0.6198
Pr3 Pr 0.2054 0.2183 0.8147
Nd1 Nd 0.0000 0.4047 0.2500
Tm1 Tm 0.2405 0.0446 0.0515
Th1 Th 0.0000 0.0307 0.7500